Crystalline CuSbTe2C at its relaxed geometry, computed with PBE-GGA.

a b c (Å): 4.818 4.818 4.632
angles (deg): 90.00 90.00 90.00
Fractional coordinates of all 5 atoms:
1 Sb 0.000 0.000 0.500
2 C 0.000 0.000 0.000
3 Te 0.000 0.500 0.000
4 Te 0.500 0.000 0.000
5 Cu 0.500 0.500 0.500

Computed properties:
Symmetry: No. 123
ΔE_f (raw) in eV/atom: 1.15
Energy above the most stable polymorph in this dataset in meV per atom: 0
Fermi-level density of states in states/eV/f.u.: 3.40
Total DFT energy (no corrections) in eV/atom: -3.593